Entry 1:
The following is a GGA-PBE calculation of crystalline Sc2CdN at its relaxed geometry, from Alexandria via LeMat-Bulk.

E in eV/cell: -81.922

Cell lengths 6.554, 6.554, 6.554 Å; angles 90.00, 90.00, 90.00 degrees
Space group Fm-3m (No. 225)
Symmetry-distinct sites (fractional):
1 Sc 0.250 0.250 0.250 [8 per cell]
2 Cd 0.000 0.000 0.000 [4 per cell]
3 N 0.000 0.000 0.500 [4 per cell]

---

Entry 2:
The following is a GGA-PBE calculation of crystalline Na2ZrCo at its relaxed geometry, from Alexandria via LeMat-Bulk.

Calculated formation energy in eV per formula unit: 4.5
E in eV/cell: -55.156

Cell lengths 6.888, 6.888, 6.888 Å; angles 90.00, 90.00, 90.00 degrees
Space group Fm-3m (No. 225)
Symmetry-distinct sites (fractional):
1 Na 0.250 0.250 0.250 [8 per cell]
2 Zr 0.000 0.000 0.000 [4 per cell]
3 Co 0.000 0.000 0.500 [4 per cell]

---

Entry 3:
The following is a GGA-PBE calculation of crystalline AcLu2Zn at its relaxed geometry, from Alexandria via LeMat-Bulk.

Calculated formation energy in eV per formula unit: -0.5
E in eV/cell: -14.878

Cell lengths 3.592, 3.592, 8.996 Å; angles 90.00, 90.00, 90.00 degrees
Space group P4/mmm (No. 123)
Symmetry-distinct sites (fractional):
1 Ac 0.000 0.000 0.000 [1 per cell]
2 Lu 0.500 0.500 0.312 [2 per cell]
3 Zn 0.000 0.000 0.500 [1 per cell]

---

Entry 4:
The following is a GGA-PBE calculation of crystalline Ca3Ga2Si at its relaxed geometry, from Alexandria via LeMat-Bulk.

E in eV/cell: -80.432

Cell lengths 12.236, 4.073, 12.598 Å; angles 90.00, 90.00, 90.00 degrees
Space group Pnma (No. 62)
Symmetry-distinct sites (fractional):
1 Ca 0.061 0.250 0.122 [4 per cell]
2 Ca 0.116 0.750 0.552 [4 per cell]
3 Ca 0.207 0.250 0.790 [4 per cell]
4 Ga 0.026 0.750 0.311 [4 per cell]
5 Ga 0.196 0.750 0.988 [4 per cell]
6 Si 0.130 0.250 0.368 [4 per cell]

---

Entry 5:
The following is a GGA-PBE calculation of crystalline K2Pt7Pb12 at its relaxed geometry, from Alexandria via LeMat-Bulk.

Calculated formation energy in eV per formula unit: -3.9
E in eV/cell: -92.907

Cell lengths 11.7274, 11.7274, 4.5936 Å; angles 90.00, 90.00, 120.00 degrees
Space group P-6 (No. 174)
Symmetry-distinct sites (fractional):
1 K 0.0000 0.0000 0.0000 [1 per cell]
2 K 0.3333 0.6667 0.5000 [1 per cell]
3 Pt 0.0706 0.4267 0.0000 [3 per cell]
4 Pt 0.2813 0.2486 0.5000 [3 per cell]
5 Pt 0.6667 0.3333 0.0000 [1 per cell]
6 Pb 0.0517 0.2654 0.5000 [3 per cell]
7 Pb 0.1141 0.6893 0.0000 [3 per cell]
8 Pb 0.3830 0.1857 0.0000 [3 per cell]
9 Pb 0.5585 0.1173 0.5000 [3 per cell]

---

Entry 6:
The following is a GGA-PBE calculation of crystalline Al4C3 at its relaxed geometry, from Alexandria via LeMat-Bulk.

Calculated formation energy in eV per formula unit: 3.4
E in eV/cell: -39.223

Cell lengths 4.497, 4.540, 5.004 Å; angles 90.60, 111.83, 119.39 degrees
Space group P1 (No. 1)
Symmetry-distinct sites (fractional):
1 Al 0.000 0.000 0.000 [1 per cell]
2 Al 0.112 0.548 0.660 [1 per cell]
3 Al 0.552 0.770 0.333 [1 per cell]
4 Al 0.687 0.342 0.023 [1 per cell]
5 C 0.124 0.021 0.650 [1 per cell]
6 C 0.400 0.317 0.567 [1 per cell]
7 C 0.534 0.230 0.360 [1 per cell]

---

Entry 7:
The following is a GGA-PBE calculation of crystalline ZrZn2Tc at its relaxed geometry, from Alexandria via LeMat-Bulk.

Calculated formation energy in eV per formula unit: -0.2
E in eV/cell: -43.240

Cell lengths 5.332, 7.301, 3.340 Å; angles 90.00, 90.00, 90.00 degrees
Space group Cmmm (No. 65)
Symmetry-distinct sites (fractional):
1 Zr 0.000 0.000 0.000 [2 per cell]
2 Zn 0.250 0.250 0.500 [4 per cell]
3 Tc 0.000 0.500 0.000 [2 per cell]

---

Entry 8:
The following is a GGA-PBE calculation of crystalline Nd5SnPd2 at its relaxed geometry, from Alexandria via LeMat-Bulk.

Calculated formation energy in eV per formula unit: -4.9
E in eV/cell: -172.619

Cell lengths 8.123, 8.123, 13.784 Å; angles 90.00, 90.00, 90.00 degrees
Space group I4/mcm (No. 140)
Symmetry-distinct sites (fractional):
1 Nd 0.000 0.000 0.000 [4 per cell]
2 Nd 0.158 0.342 0.142 [16 per cell]
3 Sn 0.000 0.000 0.250 [4 per cell]
4 Pd 0.132 0.368 0.500 [8 per cell]